# 1
LiTaRu3: relaxed, PBE.

Calculated values
energy: -7.0039 eV per atom
energy relative to the elements: 6.6 eV/f.u.
space-group type: Pm-3m (221)

Cell lengths 4.765, 4.765, 4.765 Å; angles 90.00, 90.00, 90.00 degrees
Fractional positions:
Li  0.000  0.000  0.000
Ta  0.500  0.500  0.500
Ru  0.000  0.500  0.500
Ru  0.500  0.000  0.500
Ru  0.500  0.500  0.000

# 2
LiTbTaRu: relaxed, PBE.

Calculated values
energy: -6.9138 eV per atom
energy relative to the elements: 0.0 eV/f.u.
space-group type: F-43m (216)

Cell lengths 4.675, 4.675, 4.675 Å; angles 60.00, 60.00, 60.00 degrees
Fractional positions:
Li  0.000  0.000  0.000
Tb  0.750  0.750  0.750
Ta  0.250  0.250  0.250
Ru  0.500  0.500  0.500

# 3
LiTaTlRu2: relaxed, PBE.

Calculated values
energy: -6.0362 eV per atom
energy relative to the elements: 4.5 eV/f.u.
space-group type: P4/mmm (123)

Cell lengths 4.335, 4.335, 4.208 Å; angles 90.00, 90.00, 90.00 degrees
Fractional positions:
Li  0.000  0.000  0.000
Ta  0.500  0.500  0.500
Tl  0.000  0.000  0.500
Ru  0.000  0.500  0.000
Ru  0.500  0.000  0.000

# 4
Li2TaRuW: relaxed, PBE.

Calculated values
energy: -5.7004 eV per atom
energy relative to the elements: 9.4 eV/f.u.
space-group type: P4/mmm (123)

Cell lengths 4.455, 4.455, 4.791 Å; angles 90.00, 90.00, 90.00 degrees
Fractional positions:
Li  0.000  0.500  0.000
Li  0.500  0.000  0.000
Ta  0.000  0.000  0.500
Ru  0.500  0.500  0.500
W  0.000  0.000  0.000

# 5
LiYTaRu: relaxed, PBE.

Calculated values
energy: -7.3827 eV per atom
energy relative to the elements: 0.0 eV/f.u.
space-group type: F-43m (216)

Cell lengths 4.671, 4.671, 4.671 Å; angles 60.00, 60.00, 60.00 degrees
Fractional positions:
Li  0.000  0.000  0.000
Y  0.750  0.750  0.750
Ta  0.250  0.250  0.250
Ru  0.500  0.500  0.500

# 6
Li2TaZnRu: relaxed, PBE.

Calculated values
energy: -4.4377 eV per atom
energy relative to the elements: 4.0 eV/f.u.
space-group type: P4/mmm (123)

Cell lengths 4.594, 4.594, 4.681 Å; angles 90.00, 90.00, 90.00 degrees
Fractional positions:
Li  0.000  0.500  0.000
Li  0.500  0.000  0.000
Ta  0.000  0.000  0.500
Zn  0.500  0.500  0.500
Ru  0.000  0.000  0.000

# 7
LiTb3Ru2: relaxed, PBE.

Calculated values
energy: -6.0013 eV per atom
energy relative to the elements: -1.7 eV/f.u.
space-group type: P4/mmm (123)

Cell lengths 3.420, 3.420, 11.555 Å; angles 90.00, 90.00, 90.00 degrees
Fractional positions:
Li  0.000  0.000  0.000
Tb  0.500  0.500  0.208
Tb  0.500  0.500  0.500
Tb  0.500  0.500  0.792
Ru  0.000  0.000  0.344
Ru  0.000  0.000  0.656

# 8
LiTb12Ru6: relaxed, PBE.

Calculated values
energy: -6.0355 eV per atom
energy relative to the elements: -1.5 eV/f.u.
space-group type: R-3 (148)

Cell lengths 8.202, 8.202, 8.202 Å; angles 101.27, 101.27, 101.27 degrees
Fractional positions:
Li  0.000  0.000  0.000
Tb  0.070  0.665  0.920
Tb  0.080  0.930  0.335
Tb  0.177  0.414  0.555
Tb  0.335  0.080  0.930
Tb  0.414  0.555  0.177
Tb  0.445  0.823  0.586
Tb  0.555  0.177  0.414
Tb  0.586  0.445  0.823
Tb  0.665  0.920  0.070
Tb  0.823  0.586  0.445
Tb  0.920  0.070  0.665
Tb  0.930  0.335  0.080
Ru  0.139  0.612  0.304
Ru  0.304  0.139  0.612
Ru  0.388  0.696  0.861
Ru  0.612  0.304  0.139
Ru  0.696  0.861  0.388
Ru  0.861  0.388  0.696

# 9
LiTb7Ru4: relaxed, PBE.

Calculated values
energy: -6.0633 eV per atom
energy relative to the elements: -1.3 eV/f.u.
space-group type: C2/m (12)

Cell lengths 7.409, 7.409, 9.828 Å; angles 124.22, 124.22, 41.49 degrees
Fractional positions:
Li  0.000  0.000  0.000
Tb  0.078  0.078  0.358
Tb  0.215  0.215  0.874
Tb  0.330  0.330  0.378
Tb  0.500  0.500  0.000
Tb  0.670  0.670  0.622
Tb  0.785  0.785  0.126
Tb  0.922  0.922  0.642
Ru  0.300  0.300  0.655
Ru  0.435  0.435  0.218
Ru  0.565  0.565  0.782
Ru  0.700  0.700  0.345

# 10
LiTb4Ru3: relaxed, PBE.

Calculated values
energy: -6.3307 eV per atom
energy relative to the elements: -2.4 eV/f.u.
space-group type: I4/mmm (139)

Cell lengths 7.791, 7.791, 7.791 Å; angles 143.71, 143.71, 52.27 degrees
Fractional positions:
Li  0.000  0.000  0.000
Tb  0.130  0.630  0.500
Tb  0.370  0.870  0.500
Tb  0.630  0.130  0.500
Tb  0.870  0.370  0.500
Ru  0.248  0.248  0.000
Ru  0.500  0.500  0.000
Ru  0.752  0.752  0.000

# 11
LiTbRu: relaxed, PBE.

Calculated values
energy: -5.3109 eV per atom
energy relative to the elements: -0.1 eV/f.u.
space-group type: I4mm (107)

Cell lengths 5.114, 5.114, 5.114 Å; angles 140.22, 140.22, 57.52 degrees
Fractional positions:
Li  0.000  0.000  0.000
Tb  0.303  0.303  0.000
Ru  0.633  0.633  0.000

# 12
LiTbRu: relaxed, PBE.

Calculated values
energy: -5.3401 eV per atom
energy relative to the elements: -0.2 eV/f.u.
space-group type: C2/c (15)

Cell lengths 5.660, 5.660, 4.555 Å; angles 113.59, 113.59, 101.85 degrees
Fractional positions:
Li  0.019  0.981  0.750
Li  0.981  0.019  0.250
Tb  0.368  0.632  0.750
Tb  0.632  0.368  0.250
Ru  0.000  0.500  0.000
Ru  0.500  0.000  0.500

- energy relative to the elements of number 6 (Li2TaZnRu)?
  4.0 eV/f.u.